[1]
First-principles (GGA-PBEsol) data for a relaxed EuPPd crystal, as listed in Alexandria via LeMat-Bulk.

a b c (Å): 4.104 4.104 8.147
angles (deg): 90.00 90.00 120.00
Atoms (fractional coordinates):
Eu  0.000  0.000  0.000
Eu  0.000  0.000  0.500
P  0.667  0.333  0.750
P  0.333  0.667  0.250
Pd  0.667  0.333  0.250
Pd  0.333  0.667  0.750

Results
Its space-group type is P6_3/mmc, No. 194. The crystal system is hexagonal. The calculation puts the total DFT energy (no corrections) at -8.58 eV per atom. The value obtained for the total magnetic moment is 13.2 μB/cell. The calculation puts the density at 8.1 Mg/m³. For the formation energy, the calculation gives -1139 meV/atom.

---

[2]
First-principles (GGA-PBEsol) data for a relaxed EuPPt crystal, as listed in Alexandria via LeMat-Bulk.

a b c (Å): 4.078 4.078 8.298
angles (deg): 90.00 90.00 120.00
Atoms (fractional coordinates):
Eu  0.000  0.000  0.500
Eu  0.000  0.000  0.000
P  0.667  0.333  0.750
P  0.333  0.667  0.250
Pt  0.333  0.667  0.750
Pt  0.667  0.333  0.250

Results
Its space-group type is P6_3/mmc, No. 194. The crystal system is hexagonal. The calculation puts the total DFT energy (no corrections) at -9.00 eV per atom. The value obtained for the total magnetic moment is 13.2 μB/cell. The calculation puts the density at 10.5 Mg/m³. For the formation energy, the calculation gives -1227 meV/atom.

---

[3]
First-principles (GGA-PBEsol) data for a relaxed EuPPt crystal, as listed in Alexandria via LeMat-Bulk.

a b c (Å): 4.078 4.078 4.164
angles (deg): 90.00 90.00 120.00
Atoms (fractional coordinates):
Eu  0.000  0.000  0.000
P  0.333  0.667  0.500
Pt  0.667  0.333  0.500

Results
Its space-group type is P-6m2, No. 187. The crystal system is hexagonal. The calculation puts the total DFT energy (no corrections) at -8.99 eV per atom. The value obtained for the total magnetic moment is 6.7 μB/cell. The calculation puts the density at 10.5 Mg/m³. For the formation energy, the calculation gives -1219 meV/atom.

---

[4]
First-principles (GGA-PBEsol) data for a relaxed EuP12Ru4 crystal, as listed in Alexandria via LeMat-Bulk.

a b c (Å): 6.935 6.935 6.935
angles (deg): 109.47 109.47 109.47
Atoms (fractional coordinates):
Eu  0.000  0.000  0.000
P  0.642  0.497  0.856
P  0.358  0.503  0.144
P  0.358  0.214  0.856
P  0.642  0.786  0.144
P  0.786  0.144  0.642
P  0.214  0.856  0.358
P  0.503  0.144  0.358
P  0.497  0.856  0.642
P  0.144  0.358  0.503
P  0.856  0.642  0.497
P  0.144  0.642  0.786
P  0.856  0.358  0.214
Ru  0.000  0.500  0.000
Ru  0.500  0.500  0.500
Ru  0.000  0.000  0.500
Ru  0.500  0.000  0.000

Results
Its space-group type is Im-3, No. 204. The crystal system is cubic. The calculation puts the total DFT energy (no corrections) at -7.80 eV per atom. The value obtained for the total magnetic moment is 6.6 μB/cell. The calculation puts the density at 6.0 Mg/m³. For the formation energy, the calculation gives -699 meV/atom.

---

[5]
First-principles (GGA-PBEsol) data for a relaxed EuPSe3 crystal, as listed in Alexandria via LeMat-Bulk.

a b c (Å): 6.838 7.639 9.482
angles (deg): 90.00 91.78 90.00
Atoms (fractional coordinates):
Eu  0.539  0.113  0.252
Eu  0.961  0.613  0.248
Eu  0.461  0.887  0.748
Eu  0.039  0.387  0.752
P  0.064  0.107  0.435
P  0.436  0.607  0.065
P  0.936  0.893  0.565
P  0.564  0.393  0.935
Se  0.612  0.511  0.726
Se  0.888  0.011  0.774
Se  0.388  0.489  0.274
Se  0.112  0.989  0.226
Se  0.831  0.298  0.048
Se  0.669  0.798  0.452
Se  0.169  0.702  0.952
Se  0.331  0.202  0.548
Se  0.337  0.189  0.945
Se  0.163  0.689  0.555
Se  0.663  0.811  0.055
Se  0.837  0.311  0.445

Results
Its space-group type is P2_1/c, No. 14. The crystal system is monoclinic. The calculation puts the total DFT energy (no corrections) at -6.51 eV per atom. The value obtained for the total magnetic moment is 28.0 μB/cell. The value obtained for the formation energy (no corrections) is -0.93 eV/atom. The calculation puts the density at 5.6 Mg/m³.

---

[6]
First-principles (GGA-PBEsol) data for a relaxed Eu2ZnP2 crystal, as listed in Alexandria via LeMat-Bulk.

a b c (Å): 4.069 7.091 7.963
angles (deg): 90.00 104.80 90.00
Atoms (fractional coordinates):
Eu  0.706  0.466  0.411
Eu  0.294  0.966  0.589
Eu  0.536  0.799  0.073
Eu  0.464  0.299  0.927
Zn  0.905  0.650  0.809
Zn  0.095  0.150  0.191
P  0.938  0.001  0.877
P  0.062  0.501  0.123
P  0.669  0.070  0.338
P  0.331  0.570  0.662

Results
Its space-group type is Cmc2_1, No. 36. The crystal system is orthorhombic. The calculation puts the total DFT energy (no corrections) at -7.90 eV per atom. The value obtained for the total magnetic moment is 28.0 μB/cell. The calculation puts the density at 6.4 Mg/m³. For the formation energy, the calculation gives -1039 meV/atom.

---

[7]
First-principles (GGA-PBEsol) data for a relaxed PmEuPd2 crystal, as listed in Alexandria via LeMat-Bulk.

a b c (Å): 4.997 4.997 4.997
angles (deg): 60.00 60.00 60.00
Atoms (fractional coordinates):
Eu  0.500  0.500  0.500
Pd  0.250  0.250  0.250
Pd  0.750  0.750  0.750
Pm  0.000  0.000  0.000

Results
Its space-group type is Fm-3m, No. 225. The crystal system is cubic. The calculation puts the total DFT energy (no corrections) at -7.60 eV per atom. The value obtained for the total magnetic moment is 7.0 μB/cell. The calculation puts the density at 9.6 Mg/m³. For the formation energy, the calculation gives -696 meV/atom.

---

[8]
First-principles (GGA-PBEsol) data for a relaxed EuSi2Pd2 crystal, as listed in Alexandria via LeMat-Bulk.

a b c (Å): 4.168 4.168 5.781
angles (deg): 111.13 111.13 90.00
Atoms (fractional coordinates):
Eu  0.000  0.000  0.000
Si  0.380  0.380  0.759
Si  0.620  0.620  0.241
Pd  0.750  0.250  0.500
Pd  0.250  0.750  0.500

Results
Its space-group type is I4/mmm, No. 139. The crystal system is tetragonal. The calculation puts the total DFT energy (no corrections) at -7.69 eV per atom. The value obtained for the total magnetic moment is 6.9 μB/cell. The value obtained for the formation energy (no corrections) is -0.90 eV/atom. The calculation puts the density at 8.1 Mg/m³.

---

[9]
First-principles (GGA-PBEsol) data for a relaxed EuSnPd crystal, as listed in Alexandria via LeMat-Bulk.

a b c (Å): 4.657 7.376 7.911
angles (deg): 90.00 90.00 90.00
Atoms (fractional coordinates):
Eu  0.750  0.480  0.189
Eu  0.250  0.520  0.811
Eu  0.750  0.980  0.311
Eu  0.250  0.020  0.689
Sn  0.750  0.830  0.922
Sn  0.250  0.670  0.422
Sn  0.750  0.330  0.578
Sn  0.250  0.170  0.078
Pd  0.250  0.793  0.099
Pd  0.750  0.707  0.599
Pd  0.250  0.293  0.401
Pd  0.750  0.207  0.901

Results
Its space-group type is Pnma, No. 62. The crystal system is orthorhombic. The calculation puts the total DFT energy (no corrections) at -7.78 eV per atom. The value obtained for the total magnetic moment is 27.9 μB/cell. The calculation puts the density at 9.2 Mg/m³. For the formation energy, the calculation gives -854 meV/atom.

---

[10]
First-principles (GGA-PBEsol) data for a relaxed EuSn2Pd2 crystal, as listed in Alexandria via LeMat-Bulk.

a b c (Å): 4.509 4.509 10.795
angles (deg): 90.00 90.00 90.00
Atoms (fractional coordinates):
Eu  0.000  0.500  0.246
Eu  0.500  0.000  0.754
Sn  0.000  0.000  0.500
Sn  0.500  0.500  0.500
Sn  0.000  0.500  0.873
Sn  0.500  0.000  0.127
Pd  0.000  0.500  0.633
Pd  0.500  0.000  0.367
Pd  0.000  0.000  0.000
Pd  0.500  0.500  0.000

Results
Its space-group type is P4/nmm, No. 129. The crystal system is tetragonal. The calculation puts the total DFT energy (no corrections) at -6.95 eV per atom. The value obtained for the total magnetic moment is 13.9 μB/cell. The calculation puts the density at 9.1 Mg/m³. For the formation energy, the calculation gives -751 meV/atom.

---

[11]
First-principles (GGA-PBEsol) data for a relaxed PmEu3 crystal, as listed in Alexandria via LeMat-Bulk.

a b c (Å): 5.974 7.415 7.415
angles (deg): 120.00 90.00 90.00
Atoms (fractional coordinates):
Pm  0.750  0.333  0.667
Pm  0.250  0.667  0.333
Eu  0.250  0.663  0.832
Eu  0.250  0.168  0.337
Eu  0.250  0.168  0.832
Eu  0.750  0.337  0.168
Eu  0.750  0.832  0.663
Eu  0.750  0.832  0.168

Results
Its space-group type is P6_3/mmc, No. 194. The crystal system is hexagonal. The calculation puts the total DFT energy (no corrections) at -9.15 eV per atom. The value obtained for the total magnetic moment is 44.6 μB/cell. The calculation puts the density at 7.0 Mg/m³. For the formation energy, the calculation gives 53 meV/atom.

---

[12]
First-principles (GGA-PBEsol) data for a relaxed Pr2EuS4 crystal, as listed in Alexandria via LeMat-Bulk.

a b c (Å): 7.381 7.381 7.381
angles (deg): 109.42 109.42 109.57
Atoms (fractional coordinates):
Pr  0.252  0.875  0.877
Pr  0.125  0.002  0.377
Pr  0.998  0.375  0.123
Pr  0.625  0.748  0.623
Eu  0.750  0.250  0.500
Eu  0.500  0.500  0.000
S  0.373  0.776  0.250
S  0.373  0.276  0.250
S  0.224  0.474  0.597
S  0.026  0.123  0.750
S  0.724  0.974  0.097
S  0.877  0.627  0.903
S  0.877  0.627  0.403
S  0.526  0.123  0.750

Results
Its space-group type is I-42d, No. 122. The crystal system is tetragonal. The calculation puts the total DFT energy (no corrections) at -7.67 eV per atom. The value obtained for the total magnetic moment is 14.0 μB/cell. The value obtained for the formation energy (no corrections) is -2.17 eV/atom. The calculation puts the density at 6.0 Mg/m³.